1.
Density functional theory data (PBE-GGA) for a relaxed Sm6Ni2CI3 crystal.

uncorrected energy: -122.848 eV/cell
E_form (uncorrected): -0.639 eV/atom
calculated volume: 657.5 Å³ per cell

a b c (Å): 6.978 12.088 8.128
angles (deg): 90.00 106.47 90.00
Space group C2/m (No. 12)
Symmetry-distinct sites (fractional):
1 Sm 0.216 0.156 0.177 [8 per cell]
2 Sm 0.247 0.500 0.179 [4 per cell]
3 Ni 0.000 0.333 0.000 [4 per cell]
4 C 0.000 0.000 0.000 [2 per cell]
5 I 0.000 0.167 0.500 [4 per cell]
6 I 0.000 0.500 0.500 [2 per cell]

2.
Density functional theory data (PBE-GGA) for a relaxed Y10ErTm2 crystal.

uncorrected energy: -297.338 eV/cell
calculated volume: 1751.1 Å³ per cell

a b c (Å): 6.536 15.445 17.346
angles (deg): 90.00 90.00 90.00
Space group Fmmm (No. 69)
Symmetry-distinct sites (fractional):
1 Y 0.000 0.104 0.100 [16 per cell]
2 Y 0.000 0.181 0.333 [16 per cell]
3 Y 0.250 0.000 0.250 [8 per cell]
4 Er 0.000 0.000 0.500 [4 per cell]
5 Tm 0.250 0.250 0.000 [8 per cell]

3.
Density functional theory data (PBE-GGA) for a relaxed HRuF2 crystal.

uncorrected energy: -68.223 eV/cell
calculated volume: 144.2 Å³ per cell
distance to the lowest polymorph of the same formula: 540.9 meV per atom

a b c (Å): 4.438 4.438 7.319
angles (deg): 90.00 90.00 90.00
Space group I-42d (No. 122)
Symmetry-distinct sites (fractional):
1 H 0.000 0.000 0.000 [4 per cell]
2 Ru 0.000 0.000 0.500 [4 per cell]
3 F 0.096 0.750 0.125 [8 per cell]

4.
Density functional theory data (PBE-GGA) for a relaxed Fe2TeP crystal.

uncorrected energy: -24.058 eV/cell
E_form (uncorrected): 0.355 eV/atom
calculated volume: 57.2 Å³ per cell
distance to the lowest polymorph of the same formula: 446.4 meV per atom

a b c (Å): 4.277 4.277 3.124
angles (deg): 90.00 90.00 90.00
Space group P4/mmm (No. 123)
Symmetry-distinct sites (fractional):
1 Fe 0.000 0.500 0.000 [2 per cell]
2 Te 0.000 0.000 0.500 [1 per cell]
3 P 0.500 0.500 0.500 [1 per cell]

5.
Density functional theory data (PBE-GGA) for a relaxed LaYHoAl crystal.

uncorrected energy: -20.494 eV/cell
calculated volume: 115.8 Å³ per cell
distance to the lowest polymorph of the same formula: 0.0 meV per atom

a b c (Å): 3.551 3.551 9.183
angles (deg): 90.00 90.00 90.00
Space group P4mm (No. 99)
Symmetry-distinct sites (fractional):
1 La 0.000 0.000 0.000 [1 per cell]
2 Y 0.500 0.500 0.702 [1 per cell]
3 Ho 0.500 0.500 0.292 [1 per cell]
4 Al 0.000 0.000 0.495 [1 per cell]

6.
Density functional theory data (PBE-GGA) for a relaxed ReRu2Pb crystal.

uncorrected energy: -33.292 eV/cell
calculated volume: 66.4 Å³ per cell

a b c (Å): 2.938 2.938 7.687
angles (deg): 90.00 90.00 90.00
Space group P4/mmm (No. 123)
Symmetry-distinct sites (fractional):
1 Re 0.000 0.000 0.000 [1 per cell]
2 Ru 0.500 0.500 0.220 [2 per cell]
3 Pb 0.000 0.000 0.500 [1 per cell]